No. 1
Compound: ZrBe2Re
Source: Alexandria
Functional: PBE
Structure: optimized geometry

a b c (Å): 8.7887 8.7887 8.7887
angles (deg): 18.16 18.16 18.16
Atoms (fractional coordinates):
Zr: 0.0000 0.0000 0.0000
Be: 0.2407 0.2407 0.2407
Be: 0.7593 0.7593 0.7593
Re: 0.5000 0.5000 0.5000

Output
**Energy**: -27.071 eV/f.u.
**Calculated density**: 8.52 g/cm³
**Crystal system**: trigonal
**E above lowest polymorph**: 574.7 meV/atom
**DFT formation energy**: 0.344 eV per atom

No. 2
Compound: ZrBeRe2
Source: Alexandria
Functional: PBE
Structure: optimized geometry

a b c (Å): 4.7244 4.7244 4.6562
angles (deg): 105.14 105.14 37.79
Atoms (fractional coordinates):
Zr: 0.0000 0.0000 0.0000
Be: 0.5000 0.5000 0.5000
Re: 0.2255 0.2255 0.7050
Re: 0.7745 0.7745 0.2950

Output
**Energy**: -36.927 eV/f.u.
**Calculated density**: 12.82 g/cm³
**Crystal system**: monoclinic
**DFT formation energy**: 0.061 eV per atom

No. 3
Compound: Zr3BeRe
Source: Alexandria
Functional: PBE
Structure: optimized geometry

a b c (Å): 4.6109 4.6109 4.6109
angles (deg): 90.00 90.00 90.00
Atoms (fractional coordinates):
Zr: 0.0000 0.0000 0.5000
Zr: 0.0000 0.5000 0.0000
Zr: 0.5000 0.0000 0.0000
Be: 0.0000 0.0000 0.0000
Re: 0.5000 0.5000 0.5000

Output
**Energy**: -38.649 eV/f.u.
**Calculated density**: 7.94 g/cm³
**Crystal system**: cubic
**E above lowest polymorph**: 0.0 meV/atom
**DFT formation energy**: 0.634 eV per atom

No. 4
Compound: Zr2BeRe
Source: Alexandria
Functional: PBE
Structure: optimized geometry

a b c (Å): 3.4320 4.1644 5.1876
angles (deg): 90.00 104.08 90.00
Atoms (fractional coordinates):
Zr: 0.0000 0.0000 0.0000
Zr: 0.2173 0.5000 0.5757
Be: 0.5534 0.5000 0.1499
Re: 0.6555 0.0000 0.4279

Output
**Energy**: -33.680 eV/f.u.
**Calculated density**: 8.72 g/cm³
**Crystal system**: monoclinic
**DFT formation energy**: -0.102 eV per atom

> Which of these has the lowest calculated density?

Zr3BeRe

> What is the DFT formation energy in the first record?

0.344 eV per atom

> Which of these has the lowest DFT formation energy?

Zr2BeRe

> The lowest DFT formation energy belongs to which entry?

Zr2BeRe